No. 1
{
  "formula": "KAl2HN",
  "functional": "SCAN",
  "state": "PBEsol geometry",
  "final_energy_ev_per_atom": -6.335,
  "sg": "P4/mmm (123)",
  "lattice": [[-0.9664, -2.7256, 2.5937], [2.9221, -2.2306, -1.2553], [3.1128, 2.1522, 3.4215]],
  "species": ["K", "Al", "Al", "N", "H"],
  "frac_coords": [[0.5000, 0.5000, 0.5000], [0.0000, 0.5000, 0.0000], [0.5000, 0.0000, 0.0000], [0.0000, 0.0000, 0.5000], [0.0000, 0.0000, 0.0000]]
}

***

No. 2
{
  "formula": "Mg2AgPd",
  "functional": "SCAN",
  "state": "PBEsol geometry",
  "final_energy_ev_per_atom": -19.049,
  "sg": "P4/mmm (123)",
  "lattice": [[3.1993, 0.0000, 0.0000], [0.0000, 3.1993, 0.0000], [0.0000, 0.0000, 6.5093]],
  "species": ["Ag", "Mg", "Pd", "Mg"],
  "frac_coords": [[0.0000, 0.0000, 0.0000], [0.5000, 0.5000, 0.2646], [0.0000, 0.0000, 0.5000], [0.5000, 0.5000, 0.7354]]
}

***

No. 3
{
  "formula": "Zr5SiSb3",
  "functional": "SCAN",
  "state": "PBEsol geometry",
  "e_form_raw_ev_per_fu": -8.11,
  "final_energy_ev_per_atom": -31.489,
  "sg": "P6_3/mcm (193)",
  "lattice": [[5.7733, 0.0000, 0.0000], [0.0000, 8.5516, 0.0000], [0.0000, -4.2758, 7.4059]],
  "species": ["Zr", "Zr", "Zr", "Zr", "Sb", "Sb", "Si", "Zr", "Sb", "Zr", "Zr", "Si", "Sb", "Zr", "Sb", "Zr", "Sb", "Zr"],
  "frac_coords": [[0.7500, 0.2606, 0.0000], [0.2500, 0.7394, 0.0000], [0.5000, 0.6667, 0.3333], [0.2500, 0.2606, 0.2606], [0.2500, 0.0000, 0.3945], [0.7500, 0.6055, 0.0000], [0.0000, 0.0000, 0.0000], [0.2500, 0.0000, 0.7394], [0.2500, 0.3945, 0.0000], [0.7500, 0.7394, 0.7394], [0.0000, 0.3333, 0.6667], [0.5000, 0.0000, 0.0000], [0.2500, 0.6055, 0.6055], [0.0000, 0.6667, 0.3333], [0.7500, 0.3945, 0.3945], [0.7500, 0.0000, 0.2606], [0.7500, 0.0000, 0.6055], [0.5000, 0.3333, 0.6667]]
}

***

No. 4
{
  "formula": "La2Cu",
  "functional": "SCAN",
  "state": "PBEsol geometry",
  "final_energy_ev_per_atom": -33.919,
  "sg": "Cmc2_1 (36)",
  "lattice": [[3.8825, 0.0000, 0.0000], [-1.9412, 6.2612, 0.0000], [0.0000, 0.0000, 6.8284]],
  "species": ["La", "La", "Cu", "Cu", "La", "La"],
  "frac_coords": [[0.4729, 0.9459, 0.2916], [0.7932, 0.5864, 0.9777], [0.1148, 0.2296, 0.0622], [0.8852, 0.7704, 0.5622], [0.2068, 0.4136, 0.4777], [0.5271, 0.0541, 0.7916]]
}

***

No. 5
{
  "formula": "Co3BiH",
  "functional": "SCAN",
  "state": "PBEsol geometry",
  "final_energy_ev_per_atom": -26.349,
  "sg": "Pm-3m (221)",
  "lattice": [[-1.2462, -3.3673, -1.1050], [3.5435, -1.2030, -0.3304], [-0.0577, -1.1519, 3.5753]],
  "species": ["Co", "Bi", "Co", "Co", "H"],
  "frac_coords": [[0.0000, 0.5000, 0.0000], [0.5000, 0.5000, 0.5000], [0.5000, 0.0000, 0.0000], [0.0000, 0.0000, 0.5000], [0.0000, 0.0000, 0.0000]]
}

***

No. 6
{
  "formula": "Li3SiRu",
  "functional": "SCAN",
  "state": "PBEsol geometry",
  "e_form_raw_ev_per_fu": 4.76,
  "final_energy_ev_per_atom": -9.450,
  "sg": "Pm-3m (221)",
  "lattice": [[4.3748, 0.0000, 0.0000], [0.0000, 4.3748, 0.0000], [0.0000, 0.0000, 4.3748]],
  "species": ["Li", "Li", "Li", "Si", "Ru"],
  "frac_coords": [[0.0000, 0.0000, 0.5000], [0.0000, 0.5000, 0.0000], [0.5000, 0.0000, 0.0000], [0.0000, 0.0000, 0.0000], [0.5000, 0.5000, 0.5000]]
}